(1)
VASP calculation (PBE) on crystalline KMnCo2 at its relaxed geometry.

- Total energy: -5.462 eV per atom
- ΔE to the lowest computed polymorph: 0.030 eV per atom
- Density of states at the Fermi level: 6.28 states/eV/cell
- Energy of formation: 658 meV per atom
- Total magnetization: 1.8236 μB/atom

Lattice parameters (Å, degrees): 7.995 2.856 7.150 90.00 95.46 90.00
Space group Cm (No. 8)
Symmetry-distinct sites (fractional):
K (0.000, 0.000, 0.000) [2 per cell]
Mn (0.222, 0.000, 0.617) [2 per cell]
Co (0.267, 0.500, 0.354) [2 per cell]
Co (0.496, 0.000, 0.450) [2 per cell]


(2)
VASP calculation (PBE) on crystalline K2MnCo at its relaxed geometry.

- Total energy: -3.457 eV per atom
- ΔE to the lowest computed polymorph: 0.495 eV per atom
- Density of states at the Fermi level: 19.50 states/eV/cell
- Energy of formation: 1161 meV per atom
- Total magnetization: 1.4142 μB/atom

Lattice parameters (Å, degrees): 5.294 5.294 7.589 90.00 90.00 90.00
Space group I-4m2 (No. 119)
Symmetry-distinct sites (fractional):
K (0.000, 0.000, 0.000) [2 per cell]
K (0.000, 0.500, 0.250) [2 per cell]
Mn (0.000, 0.500, 0.750) [2 per cell]
Co (0.000, 0.000, 0.500) [2 per cell]


(3)
VASP calculation (PBE) on crystalline KMnCo2 at its relaxed geometry.

- Total energy: -5.431 eV per atom
- ΔE to the lowest computed polymorph: 0.061 eV per atom
- Density of states at the Fermi level: 3.52 states/eV/cell
- Energy of formation: 689 meV per atom
- Total magnetization: 1.7824 μB/atom

Lattice parameters (Å, degrees): 2.763 4.062 7.180 90.00 100.44 90.00
Space group Pm (No. 6)
Symmetry-distinct sites (fractional):
K (0.000, 0.000, 0.000) [1 per cell]
Mn (0.704, 0.500, 0.381) [1 per cell]
Co (0.263, 0.000, 0.506) [1 per cell]
Co (0.334, 0.500, 0.659) [1 per cell]


(4)
VASP calculation (PBE) on crystalline KMn2Co at its relaxed geometry.

- Total energy: -5.524 eV per atom
- ΔE to the lowest computed polymorph: 0.537 eV per atom
- Density of states at the Fermi level: 12.62 states/eV/cell
- Energy of formation: 1111 meV per atom
- Total magnetization: 1.9472 μB/atom

Lattice parameters (Å, degrees): 5.412 5.412 14.563 90.00 90.00 90.00
Space group I4_1/amd (No. 141, origin choice 2)
Symmetry-distinct sites (fractional):
K (0.000, 0.250, 0.375) [4 per cell]
Mn (0.000, 0.000, 0.000) [8 per cell]
Co (0.000, 0.250, 0.875) [4 per cell]


Look up the total energy of the first one.
-5.462 eV per atom